# 1
Entry from Alexandria via LeMat-Bulk: Al2BiMo at its PBEsol-relaxed geometry (SCAN).

Unit cell a=6.1320 b=6.1320 c=6.1320 alpha=101.58 beta=101.58 gamma=126.77
Element x y z (fractional)
Al 0.0847 0.1250 0.4597
Al 0.3750 0.9153 0.0403
Al 0.6653 0.6250 0.5403
Al 0.8750 0.3347 0.9597
Bi 0.2500 0.7500 0.5000
Bi 0.5000 0.5000 0.0000
Mo 0.0000 0.0000 0.0000
Mo 0.7500 0.2500 0.5000

Output
The total energy comes out at -31.5118 eV per atom. The calculation puts the density at 7.22 g/cm3.



# 2
Entry from Alexandria via LeMat-Bulk: AlBi2Mo at its PBEsol-relaxed geometry (SCAN).

Unit cell a=7.5556 b=7.5556 c=7.5556 alpha=128.42 beta=128.42 gamma=75.94
Element x y z (fractional)
Al 0.0000 0.0000 0.0000
Al 0.7500 0.2500 0.5000
Bi 0.1270 0.6250 0.0020
Bi 0.3750 0.3770 0.5020
Bi 0.6230 0.1250 0.9980
Bi 0.8750 0.8730 0.4980
Mo 0.2500 0.7500 0.5000
Mo 0.5000 0.5000 0.0000

Output
The total energy comes out at -49.1600 eV per atom. The calculation puts the density at 6.98 g/cm3.